# 1
Here is a relaxed LaY2 crystal from Alexandria. Energies are from PBEsol.

```
LaY2
1.0
-0.781 -2.831 -2.018
4.918 -1.008 -0.488
-2.262 -1.123 5.596
Y La
2 1
Cartesian
-0.128 -2.020 2.884
2.004 -2.942 0.206
0.000 0.000 0.000
```

- excess energy over the best structure of this formula in the dataset (meV/atom) = 0
- total magnetic moment (μB per atom) = 0.00
- energy of formation from the pure elements (eV/atom) = 0.02

=====

# 2
Here is a relaxed La2Y3 crystal from Alexandria. Energies are from PBEsol.

```
La2Y3
1.0
3.571 0.000 0.000
1.786 3.093 0.000
1.786 1.031 14.431
Y La
3 2
Cartesian
0.000 0.000 0.000
5.357 3.093 8.627
1.786 1.031 5.805
3.571 2.062 2.895
3.571 2.062 11.537
```

- total magnetic moment (μB per atom) = 0.00
- energy of formation from the pure elements (eV/atom) = 0.01

=====

# 3
Here is a relaxed LaY3 crystal from Alexandria. Energies are from PBEsol.

```
LaY3
1.0
3.598 0.000 0.000
-1.799 3.116 0.000
0.000 0.000 11.374
Y La
3 1
Cartesian
0.000 0.000 5.687
1.799 1.039 8.458
1.799 1.039 2.916
0.000 0.000 0.000
```

- total magnetic moment (μB per atom) = 0.00
- energy of formation from the pure elements (eV/atom) = 0.03